VASP calculation (PBE with a Hubbard U) on a relaxed Dy3BWO9 crystal.

Cell and atoms, written as POSCAR:
```
Dy3BWO9
1.0
-1.087 -8.234 2.586
8.018 3.226 -0.988
-0.017 1.621 5.153
Dy B W O
6 2 2 18
direct
0.287 0.359 0.694
0.713 0.641 0.194
0.359 0.072 0.194
0.641 0.928 0.694
0.928 0.287 0.194
0.072 0.713 0.694
0.000 0.000 0.902
0.000 0.000 0.402
0.667 0.333 0.728
0.333 0.667 0.228
0.539 0.743 0.020
0.461 0.257 0.520
0.257 0.796 0.020
0.085 0.902 0.397
0.915 0.098 0.897
0.204 0.461 0.020
0.527 0.398 0.953
0.796 0.539 0.520
0.817 0.915 0.397
0.743 0.204 0.520
0.098 0.183 0.397
0.871 0.473 0.953
0.602 0.129 0.953
0.473 0.602 0.453
0.129 0.527 0.453
0.183 0.085 0.897
0.902 0.817 0.897
0.398 0.871 0.453
```

Calculated values
Its symmetry is No. 173. The calculation puts the total energy at -114.8 eV/f.u. As for the total magnetization: 0.0000 μB/atom.